Compound: La4Pr2NdTh
Source: Alexandria
Functional: PBE-GGA
Structure: relaxed

abc: 6.413 3.682 12.285
angles: 90.00 99.77 90.00
Positions (direct):
La  0.240  0.000  0.243
La  0.246  0.500  0.752
La  0.754  0.500  0.248
La  0.760  0.000  0.757
Pr  0.500  0.000  0.000
Pr  0.500  0.500  0.500
Nd  0.000  0.000  0.500
Th  0.000  0.500  0.000

Output
Its magnetic moment is 0.0 μB per formula unit. As for the crystal system: monoclinic. Its formation energy is 0.24 eV/f.u.

---

Compound: Pu2Se2O
Source: Alexandria
Functional: PBE-GGA
Structure: relaxed

abc: 7.889 7.889 7.348
angles: 90.00 90.00 150.82
Positions (direct):
Pu  0.057  0.943  0.500
Pu  0.342  0.658  0.617
Pu  0.658  0.342  0.117
Pu  0.943  0.057  0.000
Se  0.293  0.707  0.993
Se  0.454  0.546  0.307
Se  0.546  0.454  0.807
Se  0.707  0.293  0.493
O  0.096  0.904  0.186
O  0.904  0.096  0.686

Output
Its magnetic moment is 10.0 μB per formula unit. As for the crystal system: orthorhombic. The calculation puts the raw formation energy at -2.030 eV per atom.

---

Compound: Sc3Cd2Hg2
Source: Alexandria
Functional: PBE-GGA
Structure: relaxed

abc: 4.914 4.923 7.881
angles: 72.03 89.99 60.14
Positions (direct):
Sc  0.000  0.000  0.000
Sc  0.425  0.150  0.275
Sc  0.575  0.850  0.725
Cd  0.147  0.707  0.440
Cd  0.853  0.293  0.560
Hg  0.288  0.423  0.864
Hg  0.712  0.577  0.136

Output
Its magnetic moment is 0.0 μB per formula unit. As for the crystal system: triclinic. Its formation energy is -2.01 eV/f.u.

---

Compound: Sm4BiSe3
Source: Alexandria
Functional: PBE-GGA
Structure: relaxed

abc: 4.274 6.053 8.570
angles: 90.00 90.00 90.00
Positions (direct):
Sm  0.000  0.000  0.000
Sm  0.000  0.000  0.500
Sm  0.500  0.500  0.232
Sm  0.500  0.500  0.768
Bi  0.000  0.500  0.500
Se  0.000  0.500  0.000
Se  0.500  0.000  0.248
Se  0.500  0.000  0.752

Output
Its magnetic moment is 0.0 μB per formula unit. As for the crystal system: orthorhombic. The calculation puts the raw formation energy at -1.561 eV per atom.

---

Compound: TbNd8Tl2
Source: Alexandria
Functional: PBE-GGA
Structure: relaxed

abc: 9.024 9.024 5.872
angles: 102.53 102.53 119.83
Positions (direct):
Tb  0.000  0.000  0.000
Nd  0.093  0.319  0.618
Nd  0.219  0.781  0.000
Nd  0.319  0.093  0.618
Nd  0.404  0.404  0.205
Nd  0.596  0.596  0.795
Nd  0.681  0.907  0.382
Nd  0.781  0.219  0.000
Nd  0.907  0.681  0.382
Tl  0.306  0.694  0.500
Tl  0.694  0.306  0.500

Output
Its magnetic moment is 0.0 μB per formula unit. As for the crystal system: monoclinic. Its formation energy is -0.34 eV/f.u.

---

Compound: KPmTl4
Source: Alexandria
Functional: PBE-GGA
Structure: relaxed

abc: 6.417 6.417 6.417
angles: 60.00 60.00 60.00
Positions (direct):
K  0.000  0.000  0.000
Pm  0.750  0.750  0.750
Tl  0.375  0.375  0.375
Tl  0.375  0.375  0.874
Tl  0.375  0.874  0.375
Tl  0.874  0.375  0.375

Output
Its magnetic moment is 0.0 μB per formula unit. As for the crystal system: cubic. Its formation energy is -0.21 eV/f.u.

---

Compound: Mn2CrTc
Source: Alexandria
Functional: PBE-GGA
Structure: relaxed

abc: 8.445 8.445 8.445
angles: 17.70 17.70 17.70
Positions (direct):
Mn  0.246  0.246  0.246
Mn  0.754  0.754  0.754
Cr  0.500  0.500  0.500
Tc  0.000  0.000  0.000

Output
Its magnetic moment is 0.3 μB per formula unit. As for the crystal system: trigonal. Its formation energy is 0.87 eV/f.u.

---

Compound: CaMg2Sb
Source: Alexandria
Functional: PBE-GGA
Structure: relaxed

abc: 10.269 10.269 10.269
angles: 20.51 20.51 20.51
Positions (direct):
Ca  0.000  0.000  0.000
Mg  0.241  0.241  0.241
Mg  0.759  0.759  0.759
Sb  0.500  0.500  0.500

Output
Its magnetic moment is 0.0 μB per formula unit. As for the crystal system: trigonal. The calculation puts the raw formation energy at -0.026 eV per atom.

---

Compound: Pu2ZnGa6Pd
Source: Alexandria
Functional: PBE-GGA
Structure: relaxed

abc: 5.306 6.591 6.598
angles: 75.08 68.29 68.22
Positions (direct):
Pu  0.004  0.254  0.242
Pu  0.996  0.746  0.758
Zn  0.500  0.500  0.000
Ga  0.007  0.212  0.773
Ga  0.348  0.422  0.423
Ga  0.494  0.817  0.194
Ga  0.506  0.183  0.806
Ga  0.652  0.578  0.577
Ga  0.993  0.788  0.227
Pd  0.500  0.000  0.500

Output
Its magnetic moment is 11.2 μB per formula unit. As for the crystal system: triclinic. Its formation energy is -2.76 eV/f.u.

---

Compound: La2CoP
Source: Alexandria
Functional: PBE-GGA
Structure: relaxed

abc: 4.191 4.191 5.896
angles: 90.00 90.00 90.00
Positions (direct):
La  0.000  0.000  0.000
La  0.500  0.500  0.469
Co  0.000  0.000  0.456
P  0.500  0.500  0.968

Output
Its magnetic moment is 0.0 μB per formula unit. As for the crystal system: tetragonal. Its formation energy is -2.45 eV/f.u.

---

Compound: HgMo3
Source: Alexandria
Functional: PBE-GGA
Structure: relaxed

abc: 5.095 5.095 2.789
angles: 90.00 90.00 111.90
Positions (direct):
Hg  0.000  0.000  0.000
Mo  0.000  0.500  0.500
Mo  0.500  0.000  0.500
Mo  0.500  0.500  0.000

Output
Its magnetic moment is 0.0 μB per formula unit. As for the crystal system: orthorhombic. Its formation energy is 2.04 eV/f.u.

---

Compound: Sb2TeHBr
Source: Alexandria
Functional: PBE-GGA
Structure: relaxed

abc: 5.070 5.070 4.430
angles: 90.00 90.00 90.00
Positions (direct):
Sb  0.000  0.500  0.000
Sb  0.500  0.000  0.000
Te  0.000  0.000  0.500
H  0.000  0.000  0.000
Br  0.500  0.500  0.500

Output
Its magnetic moment is 0.0 μB per formula unit. The energy is -14.15 eV per formula unit. As for the crystal system: tetragonal.